1.
Ba4HfO6 at its PBEsol-relaxed geometry. Source: Alexandria, functional SCAN.

Uncorrected formation energy, eV/atom: -3.109
Symmetry: No. 167

Unit cell a=7.350 b=7.350 c=7.350 alpha=89.44 beta=89.44 gamma=89.44
Sites, in units of the cell vectors:
Ba (0.112, 0.388, 0.750)
Ba (0.250, 0.888, 0.612)
Ba (0.612, 0.250, 0.888)
Ba (0.250, 0.250, 0.250)
Ba (0.750, 0.750, 0.750)
Ba (0.388, 0.750, 0.112)
Ba (0.750, 0.112, 0.388)
Ba (0.888, 0.612, 0.250)
Hf (0.500, 0.500, 0.500)
Hf (0.000, 0.000, 0.000)
O (0.059, 0.729, 0.926)
O (0.271, 0.074, 0.941)
O (0.441, 0.574, 0.771)
O (0.074, 0.941, 0.271)
O (0.229, 0.559, 0.426)
O (0.426, 0.229, 0.559)
O (0.574, 0.771, 0.441)
O (0.771, 0.441, 0.574)
O (0.926, 0.059, 0.729)
O (0.559, 0.426, 0.229)
O (0.729, 0.926, 0.059)
O (0.941, 0.271, 0.074)



2.
Cs2NaNdCl6 at its PBEsol-relaxed geometry. Source: Alexandria, functional SCAN.

Uncorrected formation energy, eV/atom: -2.379
Symmetry: No. 225

Unit cell a=7.654 b=7.654 c=7.654 alpha=60.00 beta=60.00 gamma=60.00
Sites, in units of the cell vectors:
Cs (0.250, 0.250, 0.250)
Cs (0.750, 0.750, 0.750)
Na (0.500, 0.500, 0.500)
Nd (0.000, 0.000, 0.000)
Cl (0.751, 0.249, 0.249)
Cl (0.249, 0.751, 0.249)
Cl (0.249, 0.751, 0.751)
Cl (0.751, 0.249, 0.751)
Cl (0.249, 0.249, 0.751)
Cl (0.751, 0.751, 0.249)



3.
HfNb3H at its PBEsol-relaxed geometry. Source: Alexandria, functional SCAN.

Energy relative to the lowest polymorph listed for this composition, meV per atom: 0
Symmetry: No. 221

Unit cell a=4.260 b=4.260 c=4.260 alpha=90.00 beta=90.00 gamma=90.00
Sites, in units of the cell vectors:
H (0.000, 0.000, 0.000)
Nb (0.000, 0.500, 0.000)
Nb (0.000, 0.000, 0.500)
Nb (0.500, 0.000, 0.000)
Hf (0.500, 0.500, 0.500)



Number 1: D(E_F) 0.000 states/eV/f.u., total DFT energy (no corrections) -292.46 eV/f.u.. Number 2: D(E_F) 0.000 states/eV/f.u., total DFT energy (no corrections) -195.08 eV/f.u.. Number 3: D(E_F) 5.363 states/eV/f.u., total DFT energy (no corrections) -165.05 eV/f.u..